[1]
A plane-wave DFT calculation with PBE was carried out for a relaxed SrCaN crystal.

Lattice parameters (Å, degrees): 3.7283 3.7283 6.7170 90.00 90.00 120.00
Space group P3m1 (No. 156)
Symmetry-distinct sites (fractional):
Sr 0.0000 0.0000 0.0000 x1
Ca 0.6667 0.3333 0.3917 x1
N 0.3333 0.6667 0.2117 x1

Output
Formation energy without anion corrections   -635 meV per atom

---

[2]
A plane-wave DFT calculation with PBE was carried out for a relaxed SrCaN crystal.

Lattice parameters (Å, degrees): 6.2816 6.2816 6.2816 90.00 90.00 90.00
Space group F-43m (No. 216)
Symmetry-distinct sites (fractional):
Sr 0.0000 0.0000 0.0000 x4
Ca 0.0000 0.0000 0.5000 x4
N 0.2500 0.2500 0.7500 x4

Output
Formation energy without anion corrections   -212 meV per atom

---

[3]
A plane-wave DFT calculation with PBE was carried out for a relaxed SrCa2N2 crystal.

Lattice parameters (Å, degrees): 7.0854 7.0854 3.1623 90.00 90.00 90.00
Space group P4/mbm (No. 127)
Symmetry-distinct sites (fractional):
Sr 0.0000 0.0000 0.0000 x2
Ca 0.1289 0.3711 0.0000 x4
N 0.1792 0.6792 0.5000 x4

Output
Formation energy without anion corrections   -40 meV per atom

---

[4]
A plane-wave DFT calculation with PBE was carried out for a relaxed SrCaN crystal.

Lattice parameters (Å, degrees): 13.7946 3.7411 6.4499 90.00 102.76 90.00
Space group C2/m (No. 12)
Symmetry-distinct sites (fractional):
Sr 0.1445 0.0000 0.3667 x4
Ca 0.1603 0.5000 0.8738 x4
N 0.2493 0.0000 0.7587 x4

Output
Formation energy without anion corrections   -653 meV per atom